Record 1
{"formula": "Pm3Fe3Te", "functional": "PBE", "state": "optimized geometry", "dft_energy_ev_per_atom": -6.465, "e_form_raw_ev_per_fu": -2.47, "dos_ef_per_ev_atom": 1.02, "crystal_system": "hexagonal", "total_magnetization_mub_per_cell": 10.31, "lattice_angstrom": [[-2.4196, 1.2849, 3.0821], [2.9772, -7.3767, 5.4126], [4.7468, 8.3658, 0.2387]], "species": ["Fe", "Fe", "Fe", "Fe", "Fe", "Fe", "Pm", "Pm", "Pm", "Pm", "Pm", "Pm", "Te", "Te"], "fractional_positions": [[0.7500, 0.8518, 0.8625], [0.7500, 0.0107, 0.1482], [0.2500, 0.1482, 0.1375], [0.2500, 0.8625, 0.0107], [0.7500, 0.1375, 0.9893], [0.2500, 0.9893, 0.8518], [0.2500, 0.6071, 0.6856], [0.7500, 0.3929, 0.3144], [0.2500, 0.3144, 0.9215], [0.2500, 0.0785, 0.3929], [0.7500, 0.9215, 0.6071], [0.7500, 0.6856, 0.0785], [0.7500, 0.3333, 0.6667], [0.2500, 0.6667, 0.3333]]}

=====

Record 2
{"formula": "La6Pd2RuI3", "functional": "PBE", "state": "optimized geometry", "dft_energy_ev_per_atom": -5.433, "e_form_raw_ev_per_fu": -11.32, "dos_ef_per_ev_atom": 0.55, "crystal_system": "monoclinic", "total_magnetization_mub_per_cell": 0.00, "lattice_angstrom": [[-1.7920, -6.3033, -3.4789], [4.8295, 4.7032, -3.0985], [5.2222, -3.3495, 6.0137]], "species": ["La", "La", "La", "La", "La", "La", "I", "I", "I", "Ru", "Pd", "Pd"], "fractional_positions": [[0.0630, 0.3818, 0.1890], [0.9370, 0.6182, 0.8110], [0.2558, 0.2558, 0.8106], [0.7442, 0.7442, 0.1894], [0.6182, 0.9370, 0.8110], [0.3818, 0.0630, 0.1890], [0.8334, 0.1666, 0.5000], [0.5000, 0.5000, 0.5000], [0.1666, 0.8334, 0.5000], [0.0000, 0.0000, 0.0000], [0.3333, 0.6667, 0.0000], [0.6667, 0.3333, 0.0000]]}

=====

Record 3
{"formula": "Sm2HoCd", "functional": "PBE", "state": "optimized geometry", "dft_energy_ev_per_atom": -3.770, "dos_ef_per_ev_atom": 1.35, "crystal_system": "cubic", "ef_ev_per_atom": -0.038, "relative_energy_ev_per_atom": 0.113, "total_magnetization_mub_per_cell": 0.00, "lattice_angstrom": [[5.5054, 0.0000, 0.0000], [2.7527, 4.7678, 0.0000], [2.7527, 1.5893, 4.4952]], "species": ["Sm", "Sm", "Ho", "Cd"], "fractional_positions": [[0.7500, 0.7500, 0.7500], [0.2500, 0.2500, 0.2500], [0.0000, 0.0000, 0.0000], [0.5000, 0.5000, 0.5000]]}

=====

Record 4
{"formula": "Si2TcTe", "functional": "PBE", "state": "optimized geometry", "dft_energy_ev_per_atom": -5.567, "e_form_raw_ev_per_fu": 2.08, "dos_ef_per_ev_atom": 0.34, "crystal_system": "tetragonal", "total_magnetization_mub_per_cell": 0.00, "lattice_angstrom": [[4.5975, -0.0131, 0.0000], [0.2186, 4.5923, 0.0000], [-2.4081, -2.2896, 3.1774]], "species": ["Si", "Si", "Te", "Tc"], "fractional_positions": [[0.0000, 0.0000, 0.0000], [0.2500, 0.7500, 0.5000], [0.7500, 0.2500, 0.5000], [0.5000, 0.5000, 0.0000]]}

=====

Record 5
{"formula": "KThRu2O8", "functional": "PBE", "state": "optimized geometry", "dft_energy_ev_per_atom": -7.144, "e_form_raw_ev_per_fu": -18.99, "dos_ef_per_ev_atom": 0.46, "crystal_system": "trigonal", "total_magnetization_mub_per_cell": 3.04, "lattice_angstrom": [[-2.8442, 2.9388, -4.4062], [-2.1904, -5.2147, 2.0369], [-4.2231, 3.8387, 5.2864]], "species": ["O", "O", "O", "O", "O", "O", "O", "O", "Ru", "Ru", "Th", "K"], "fractional_positions": [[0.6579, 0.8264, 0.6846], [0.1685, 0.3421, 0.6846], [0.3421, 0.1736, 0.3154], [0.6667, 0.3333, 0.9984], [0.8315, 0.6579, 0.3154], [0.3333, 0.6667, 0.0016], [0.8264, 0.1685, 0.3154], [0.1736, 0.8315, 0.6846], [0.3333, 0.6667, 0.7778], [0.6667, 0.3333, 0.2222], [0.0000, 0.0000, 0.5000], [0.0000, 0.0000, 0.0000]]}

=====

Record 6
{"formula": "CaAcZnCo", "functional": "PBE", "state": "optimized geometry", "dft_energy_ev_per_atom": -3.560, "dos_ef_per_ev_atom": 0.90, "crystal_system": "cubic", "ef_ev_per_atom": 0.063, "total_magnetization_mub_per_cell": 0.92, "lattice_angstrom": [[-3.5076, 3.5941, -1.3410], [-4.2224, -1.3708, -2.7039], [-4.6728, 0.0479, 2.2765]], "species": ["Zn", "Co", "Ca", "Ac"], "fractional_positions": [[0.0000, 0.0000, 0.0000], [0.5000, 0.5000, 0.5000], [0.7500, 0.7500, 0.7500], [0.2500, 0.2500, 0.2500]]}